No. 1
First-principles (GGA-PBE) data for a relaxed Li3Ni crystal, as listed in Alexandria.

```
data_Li3Ni
_cell_length_a 3.802
_cell_length_b 3.802
_cell_length_c 3.802
_cell_angle_alpha 90.00
_cell_angle_beta 90.00
_cell_angle_gamma 90.00
_symmetry_space_group_name_H-M 'P 1'
_symmetry_Int_Tables_number 1
loop_
_symmetry_equiv_pos_as_xyz
'x,y,z'
loop_
_atom_site_label
_atom_site_fract_x
_atom_site_fract_y
_atom_site_fract_z
Li1 0.000 0.500 0.500
Li2 0.500 0.000 0.500
Li3 0.500 0.500 0.000
Ni1 0.000 0.000 0.000
```

Computed properties:
ΔE_f in eV/atom: 0.111
Spin magnetization in μB/f.u.: 0.00
N(E_F) in states/eV/cell: 2.06
Electronic total energy in eV/atom: -2.770

No. 2
First-principles (GGA-PBE) data for a relaxed Nd2ErScP4 crystal, as listed in Alexandria.

```
data_Nd2ErScP4
_cell_length_a 4.027
_cell_length_b 6.967
_cell_length_c 6.949
_cell_angle_alpha 109.52
_cell_angle_beta 90.00
_cell_angle_gamma 90.00
_symmetry_space_group_name_H-M 'P 1'
_symmetry_Int_Tables_number 1
loop_
_symmetry_equiv_pos_as_xyz
'x,y,z'
loop_
_atom_site_label
_atom_site_fract_x
_atom_site_fract_y
_atom_site_fract_z
Er1 0.500 0.500 0.000
P1 0.500 0.762 0.770
P2 0.000 0.250 0.766
P3 0.500 0.238 0.230
P4 0.000 0.750 0.234
Nd1 0.000 0.500 0.500
Nd2 0.500 0.000 0.500
Sc1 0.000 0.000 0.000
```

Computed properties:
ΔE_f in eV/atom: -1.511
Spin magnetization in μB/f.u.: 0.00
N(E_F) in states/eV/cell: 0.78
Electronic total energy in eV/atom: -6.769

No. 3
First-principles (GGA-PBE) data for a relaxed Pm3Pr6Mg crystal, as listed in Alexandria.

```
data_Pm3Pr6Mg
_cell_length_a 5.430
_cell_length_b 10.687
_cell_length_c 12.134
_cell_angle_alpha 90.00
_cell_angle_beta 90.04
_cell_angle_gamma 90.00
_symmetry_space_group_name_H-M 'P 1'
_symmetry_Int_Tables_number 1
loop_
_symmetry_equiv_pos_as_xyz
'x,y,z'
loop_
_atom_site_label
_atom_site_fract_x
_atom_site_fract_y
_atom_site_fract_z
Mg1 0.500 0.500 0.500
Mg2 0.000 0.000 0.000
Pr1 0.000 0.674 0.419
Pr2 0.000 0.326 0.581
Pr3 0.500 0.826 0.919
Pr4 0.500 0.174 0.081
Pr5 0.500 0.430 0.748
Pr6 0.500 0.214 0.388
Pr7 0.500 0.570 0.252
Pr8 0.000 0.930 0.752
Pr9 0.500 0.786 0.612
Pr10 0.000 0.286 0.888
Pr11 0.000 0.070 0.248
Pr12 0.000 0.714 0.112
Pm1 0.000 0.619 0.781
Pm2 0.500 0.500 0.000
Pm3 0.000 0.381 0.219
Pm4 0.000 0.000 0.500
Pm5 0.500 0.881 0.281
Pm6 0.500 0.119 0.719
```

Computed properties:
ΔE_f in eV/atom: 0.106
Spin magnetization in μB/f.u.: 0.00
N(E_F) in states/eV/cell: 24.86
Electronic total energy in eV/atom: -4.346

No. 4
First-principles (GGA-PBE) data for a relaxed TaTi4Pt crystal, as listed in Alexandria.

```
data_TaTi4Pt
_cell_length_a 4.355
_cell_length_b 4.355
_cell_length_c 6.197
_cell_angle_alpha 90.00
_cell_angle_beta 90.00
_cell_angle_gamma 90.00
_symmetry_space_group_name_H-M 'P 1'
_symmetry_Int_Tables_number 1
loop_
_symmetry_equiv_pos_as_xyz
'x,y,z'
loop_
_atom_site_label
_atom_site_fract_x
_atom_site_fract_y
_atom_site_fract_z
Pt1 0.497 0.501 0.002
Ti1 0.497 0.001 0.251
Ti2 0.997 0.501 0.753
Ti3 0.997 0.501 0.251
Ti4 0.497 0.001 0.753
Ta1 0.997 0.001 0.502
```

Computed properties:
ΔE_f in eV/atom: 0.152
Spin magnetization in μB/f.u.: 0.00
N(E_F) in states/eV/cell: 7.27
Electronic total energy in eV/atom: -8.093

No. 5
First-principles (GGA-PBE) data for a relaxed YSbPt crystal, as listed in Alexandria.

```
data_YSbPt
_cell_length_a 4.494
_cell_length_b 4.494
_cell_length_c 4.024
_cell_angle_alpha 90.00
_cell_angle_beta 90.00
_cell_angle_gamma 120.00
_symmetry_space_group_name_H-M 'P 1'
_symmetry_Int_Tables_number 1
loop_
_symmetry_equiv_pos_as_xyz
'x,y,z'
loop_
_atom_site_label
_atom_site_fract_x
_atom_site_fract_y
_atom_site_fract_z
Sb1 0.333 0.667 0.200
Y1 0.667 0.333 0.684
Pt1 0.000 0.000 0.116
```

Computed properties:
Spin magnetization in μB/f.u.: 0.00
N(E_F) in states/eV/cell: 2.05
Electronic total energy in eV/atom: -6.601

No. 6
First-principles (GGA-PBE) data for a relaxed TcMo2W crystal, as listed in Alexandria.

```
data_TcMo2W
_cell_length_a 4.458
_cell_length_b 4.458
_cell_length_c 4.458
_cell_angle_alpha 60.00
_cell_angle_beta 60.00
_cell_angle_gamma 60.00
_symmetry_space_group_name_H-M 'P 1'
_symmetry_Int_Tables_number 1
loop_
_symmetry_equiv_pos_as_xyz
'x,y,z'
loop_
_atom_site_label
_atom_site_fract_x
_atom_site_fract_y
_atom_site_fract_z
W1 0.750 0.750 0.750
Mo1 0.250 0.250 0.250
Mo2 0.000 0.000 0.000
Tc1 0.500 0.500 0.500
```

Computed properties:
ΔE_f in eV/atom: 0.041
Spin magnetization in μB/f.u.: 0.00
N(E_F) in states/eV/cell: 4.93
Electronic total energy in eV/atom: -11.204